A plane-wave DFT calculation with PBE was carried out for an optimized crystal structure of RbLi2Cd2Cl7.

Cell: 5.319 5.319 21.011 Å, 90.00 90.00 90.00°
Space group I4/mmm (No. 139)
Unique sites:
Rb 0.000 0.000 0.000 [2 per cell]
Li 0.000 0.500 0.250 [4 per cell]
Cd 0.000 0.000 0.376 [4 per cell]
Cl 0.000 0.000 0.253 [4 per cell]
Cl 0.000 0.000 0.500 [2 per cell]
Cl 0.000 0.500 0.126 [8 per cell]

ΔE_f (raw) ... -1.4554 eV per atom
Electronic total energy ... -3.0847 eV/atom